Record 1
Entry from the Alexandria database: a PBEsol-optimized structure of Zr3Sc (meta-GGA SCAN).

a = 3.133 Å, b = 3.133 Å, c = 9.123 Å
α = 90.00°, β = 90.00°, γ = 90.00°
Fractional coordinates of all 4 atoms:
Zr 0.500 0.500 0.255
Sc 0.000 0.000 0.000
Zr 0.500 0.500 0.745
Zr 0.000 0.000 0.500

space-group type: P4/mmm, No. 123
ΔH_f (0 K): 0.24 eV/f.u.
spin magnetization: 0.0 μB per formula unit
distance to the lowest polymorph of the same formula: 0.24 eV/f.u.
DOS(E_F): 5.820 states/eV/f.u.

=====

Record 2
Entry from the Alexandria database: a PBEsol-optimized structure of Zr3Sc (meta-GGA SCAN).

a = 3.200 Å, b = 3.200 Å, c = 10.173 Å
α = 90.00°, β = 90.00°, γ = 120.00°
Fractional coordinates of all 4 atoms:
Zr 0.000 0.000 0.500
Zr 0.667 0.333 0.748
Zr 0.667 0.333 0.252
Sc 0.000 0.000 0.000

space-group type: P-6m2, No. 187
ΔH_f (0 K): 0.04 eV/f.u.
spin magnetization: 0.0 μB per formula unit
distance to the lowest polymorph of the same formula: 0.05 eV/f.u.
DOS(E_F): 4.635 states/eV/f.u.

=====

Record 3
Entry from the Alexandria database: a PBEsol-optimized structure of ZrSc3 (meta-GGA SCAN).

a = 3.185 Å, b = 4.471 Å, c = 6.417 Å
α = 90.00°, β = 90.00°, γ = 90.00°
Fractional coordinates of all 4 atoms:
Sc 0.000 0.000 0.760
Sc 0.500 0.500 0.500
Sc 0.000 0.000 0.240
Zr 0.500 0.500 0.000

space-group type: Pmmm, No. 47
ΔH_f (0 K): 0.23 eV/f.u.
spin magnetization: 0.0 μB per formula unit
distance to the lowest polymorph of the same formula: 0.23 eV/f.u.
DOS(E_F): 5.427 states/eV/f.u.

=====

Record 4
Entry from the Alexandria database: a PBEsol-optimized structure of ZrSc3 (meta-GGA SCAN).

a = 3.227 Å, b = 5.048 Å, c = 5.648 Å
α = 90.00°, β = 90.00°, γ = 90.00°
Fractional coordinates of all 4 atoms:
Sc 0.500 0.000 0.496
Sc 0.000 0.000 0.007
Zr 0.000 0.500 0.335
Sc 0.500 0.500 0.829

space-group type: Pmm2, No. 25
ΔH_f (0 K): 0.06 eV/f.u.
spin magnetization: 1.0 μB per formula unit
distance to the lowest polymorph of the same formula: 0.06 eV/f.u.
DOS(E_F): 6.060 states/eV/f.u.

=====

Record 5
Entry from the Alexandria database: a PBEsol-optimized structure of Zr3Sc (meta-GGA SCAN).

a = 6.383 Å, b = 6.383 Å, c = 10.166 Å
α = 90.00°, β = 90.00°, γ = 120.00°
Fractional coordinates of all 16 atoms:
Zr 0.833 0.167 0.250
Zr 0.167 0.334 0.750
Zr 0.000 0.500 0.500
Zr 0.000 0.500 0.000
Sc 0.000 0.000 0.500
Zr 0.167 0.833 0.750
Zr 0.666 0.833 0.750
Sc 0.667 0.333 0.750
Sc 0.000 0.000 0.000
Sc 0.333 0.667 0.250
Zr 0.500 0.500 0.500
Zr 0.500 0.000 0.500
Zr 0.500 0.500 0.000
Zr 0.334 0.167 0.250
Zr 0.500 0.000 0.000
Zr 0.833 0.666 0.250

space-group type: P6_3/mmc, No. 194
ΔH_f (0 K): 0.12 eV/f.u.
spin magnetization: 0.0 μB per formula unit
distance to the lowest polymorph of the same formula: 0.13 eV/f.u.
DOS(E_F): 4.303 states/eV/f.u.

=====

Record 6
Entry from the Alexandria database: a PBEsol-optimized structure of ZrSc7 (meta-GGA SCAN).

a = 6.386 Å, b = 6.386 Å, c = 6.386 Å
α = 60.00°, β = 60.00°, γ = 60.00°
Fractional coordinates of all 8 atoms:
Sc 0.000 0.000 0.500
Sc 0.500 0.500 0.000
Sc 0.500 0.000 0.500
Zr 0.000 0.000 0.000
Sc 0.500 0.500 0.500
Sc 0.000 0.500 0.000
Sc 0.500 0.000 0.000
Sc 0.000 0.500 0.500

space-group type: Fm-3m, No. 225
ΔH_f (0 K): 0.63 eV/f.u.
spin magnetization: 0.0 μB per formula unit
DOS(E_F): 13.101 states/eV/f.u.

=====

Record 7
Entry from the Alexandria database: a PBEsol-optimized structure of ZrSc3 (meta-GGA SCAN).

a = 3.246 Å, b = 3.246 Å, c = 10.141 Å
α = 90.00°, β = 90.00°, γ = 120.00°
Fractional coordinates of all 4 atoms:
Sc 0.333 0.667 0.746
Sc 0.000 0.000 0.000
Zr 0.000 0.000 0.500
Sc 0.333 0.667 0.254

space-group type: P-6m2, No. 187
ΔH_f (0 K): 0.00 eV/f.u.
spin magnetization: 1.6 μB per formula unit
distance to the lowest polymorph of the same formula: 0.00 eV/f.u.
DOS(E_F): 4.492 states/eV/f.u.

=====

Record 8
Entry from the Alexandria database: a PBEsol-optimized structure of ZrSc2 (meta-GGA SCAN).

a = 3.175 Å, b = 8.609 Å, c = 8.609 Å
α = 120.00°, β = 90.00°, γ = 90.00°
Fractional coordinates of all 9 atoms:
Sc 0.000 0.693 0.693
Sc 0.500 0.644 0.000
Sc 0.500 0.356 0.356
Sc 0.000 0.307 0.000
Zr 0.500 0.000 0.000
Zr 0.000 0.667 0.333
Sc 0.000 0.000 0.307
Zr 0.000 0.333 0.667
Sc 0.500 0.000 0.644

space-group type: P-62m, No. 189
ΔH_f (0 K): 0.11 eV/f.u.
spin magnetization: 1.0 μB per formula unit
DOS(E_F): 4.190 states/eV/f.u.

=====

Record 9
Entry from the Alexandria database: a PBEsol-optimized structure of Zr2Sc3 (meta-GGA SCAN).

a = 3.169 Å, b = 3.169 Å, c = 13.181 Å
α = 83.10°, β = 83.10°, γ = 60.00°
Fractional coordinates of all 5 atoms:
Sc 0.202 0.202 0.393
Sc 0.798 0.798 0.607
Zr 0.600 0.600 0.200
Zr 0.400 0.400 0.800
Sc 0.000 0.000 0.000

space-group type: R-3m, No. 166
ΔH_f (0 K): 0.30 eV/f.u.
spin magnetization: 0.0 μB per formula unit
DOS(E_F): 6.770 states/eV/f.u.

=====

Record 10
Entry from the Alexandria database: a PBEsol-optimized structure of Zr3Sc5 (meta-GGA SCAN).

a = 4.468 Å, b = 6.360 Å, c = 6.360 Å
α = 90.35°, β = 90.00°, γ = 90.00°
Fractional coordinates of all 8 atoms:
Sc 0.500 0.252 0.748
Zr 0.500 0.259 0.259
Zr 0.500 0.741 0.741
Zr 0.000 0.500 0.500
Sc 0.000 0.000 0.500
Sc 0.000 0.000 0.000
Sc 0.000 0.500 0.000
Sc 0.500 0.748 0.252

space-group type: Cmmm, No. 65
ΔH_f (0 K): 0.42 eV/f.u.
spin magnetization: 0.0 μB per formula unit
DOS(E_F): 10.152 states/eV/f.u.

=====

Record 11
Entry from the Alexandria database: a PBEsol-optimized structure of Zr3Sc (meta-GGA SCAN).

a = 4.461 Å, b = 4.461 Å, c = 4.461 Å
α = 90.00°, β = 90.00°, γ = 90.00°
Fractional coordinates of all 4 atoms:
Zr 0.500 0.000 0.500
Zr 0.500 0.500 0.000
Sc 0.000 0.000 0.000
Zr 0.000 0.500 0.500

space-group type: Pm-3m, No. 221
ΔH_f (0 K): 0.21 eV/f.u.
spin magnetization: 0.0 μB per formula unit
distance to the lowest polymorph of the same formula: 0.22 eV/f.u.
DOS(E_F): 5.531 states/eV/f.u.

=====

Record 12
Entry from the Alexandria database: a PBEsol-optimized structure of ZrSc2 (meta-GGA SCAN).

a = 4.487 Å, b = 4.487 Å, c = 13.903 Å
α = 99.29°, β = 99.29°, γ = 90.00°
Fractional coordinates of all 12 atoms:
Sc 0.250 0.250 0.500
Sc 0.584 0.584 0.169
Sc 0.416 0.416 0.831
Sc 0.500 0.000 0.000
Sc 0.666 0.166 0.331
Zr 0.086 0.086 0.171
Zr 0.164 0.664 0.329
Sc 0.834 0.334 0.669
Sc 0.750 0.750 0.500
Sc 0.000 0.500 0.000
Zr 0.336 0.836 0.671
Zr 0.914 0.914 0.829

space-group type: I4_1/amd, No. 141
ΔH_f (0 K): 0.16 eV/f.u.
spin magnetization: 0.0 μB per formula unit
DOS(E_F): 3.746 states/eV/f.u.

=====

Record 13
Entry from the Alexandria database: a PBEsol-optimized structure of ZrSc3 (meta-GGA SCAN).

a = 3.230 Å, b = 5.645 Å, c = 6.004 Å
α = 118.04°, β = 105.60°, γ = 90.00°
Fractional coordinates of all 4 atoms:
Sc 0.251 0.251 0.502
Zr 0.000 0.337 0.000
Sc 0.749 0.748 0.498
Sc 0.500 0.830 0.000

space-group type: Imm2, No. 44
ΔH_f (0 K): 0.03 eV/f.u.
spin magnetization: 0.9 μB per formula unit
distance to the lowest polymorph of the same formula: 0.03 eV/f.u.
DOS(E_F): 5.687 states/eV/f.u.

=====

Record 14
Entry from the Alexandria database: a PBEsol-optimized structure of ZrSc3 (meta-GGA SCAN).

a = 3.169 Å, b = 5.499 Å, c = 5.549 Å
α = 99.36°, β = 90.00°, γ = 106.75°
Fractional coordinates of all 4 atoms:
Sc 0.752 0.503 0.759
Sc 0.000 0.000 0.500
Zr 0.500 0.000 0.000
Sc 0.248 0.497 0.241

space-group type: C2/m, No. 12
ΔH_f (0 K): 0.26 eV/f.u.
spin magnetization: 0.0 μB per formula unit
distance to the lowest polymorph of the same formula: 0.26 eV/f.u.
DOS(E_F): 5.835 states/eV/f.u.

=====

Record 15
Entry from the Alexandria database: a PBEsol-optimized structure of Zr3Sc (meta-GGA SCAN).

a = 3.165 Å, b = 4.440 Å, c = 6.338 Å
α = 90.00°, β = 90.00°, γ = 90.00°
Fractional coordinates of all 4 atoms:
Zr 0.000 0.000 0.500
Zr 0.500 0.500 0.747
Zr 0.500 0.500 0.253
Sc 0.000 0.000 0.000

space-group type: Pmmm, No. 47
ΔH_f (0 K): 0.24 eV/f.u.
spin magnetization: 0.0 μB per formula unit
distance to the lowest polymorph of the same formula: 0.25 eV/f.u.
DOS(E_F): 5.672 states/eV/f.u.

=====

Record 16
Entry from the Alexandria database: a PBEsol-optimized structure of Zr5Sc (meta-GGA SCAN).

a = 3.187 Å, b = 5.995 Å, c = 7.523 Å
α = 103.26°, β = 90.00°, γ = 105.41°
Fractional coordinates of all 6 atoms:
Sc 0.999 0.997 0.997
Zr 0.668 0.336 0.333
Zr 0.331 0.662 0.666
Zr 0.391 0.782 0.278
Zr 0.723 0.445 0.947
Zr 0.055 0.110 0.611

space-group type: Cm, No. 8
ΔH_f (0 K): 0.00 eV/f.u.
spin magnetization: 0.0 μB per formula unit
DOS(E_F): 3.716 states/eV/f.u.

=====

Record 17
Entry from the Alexandria database: a PBEsol-optimized structure of Zr7Sc (meta-GGA SCAN).

a = 6.305 Å, b = 6.305 Å, c = 6.305 Å
α = 60.00°, β = 60.00°, γ = 60.00°
Fractional coordinates of all 8 atoms:
Zr 0.500 0.500 0.500
Sc 0.000 0.000 0.000
Zr 0.500 0.000 0.000
Zr 0.500 0.500 0.000
Zr 0.000 0.500 0.500
Zr 0.000 0.000 0.500
Zr 0.500 0.000 0.500
Zr 0.000 0.500 0.000

space-group type: Fm-3m, No. 225
ΔH_f (0 K): 0.48 eV/f.u.
spin magnetization: 0.0 μB per formula unit
DOS(E_F): 11.084 states/eV/f.u.

=====

Record 18
Entry from the Alexandria database: a PBEsol-optimized structure of ZrSc3 (meta-GGA SCAN).

a = 3.187 Å, b = 3.187 Å, c = 10.603 Å
α = 81.36°, β = 81.36°, γ = 60.00°
Fractional coordinates of all 4 atoms:
Sc 0.752 0.752 0.743
Zr 0.500 0.500 0.500
Sc 0.248 0.248 0.257
Sc 0.000 0.000 0.000

space-group type: R-3m, No. 166
ΔH_f (0 K): 0.27 eV/f.u.
spin magnetization: 0.5 μB per formula unit
distance to the lowest polymorph of the same formula: 0.27 eV/f.u.
DOS(E_F): 6.180 states/eV/f.u.

=====

Record 19
Entry from the Alexandria database: a PBEsol-optimized structure of Zr3Sc (meta-GGA SCAN).

a = 5.500 Å, b = 6.345 Å, c = 15.336 Å
α = 90.00°, β = 90.00°, γ = 90.00°
Fractional coordinates of all 24 atoms:
Sc 0.332 0.500 0.167
Zr 0.333 0.000 0.833
Zr 0.835 0.252 0.833
Zr 0.998 0.000 0.500
Zr 0.165 0.248 0.333
Zr 0.333 0.000 0.167
Zr 0.165 0.752 0.333
Zr 0.835 0.252 0.167
Zr 0.501 0.750 0.500
Sc 0.332 0.500 0.833
Zr 0.501 0.250 0.500
Zr 0.835 0.748 0.167
Zr 0.499 0.250 0.000
Zr 0.165 0.752 0.667
Zr 0.499 0.750 0.000
Zr 0.667 0.500 0.667
Zr 0.002 0.500 0.000
Sc 0.001 0.000 0.000
Zr 0.835 0.748 0.833
Sc 0.668 0.000 0.333
Zr 0.165 0.248 0.667
Sc 0.668 0.000 0.667
Zr 0.667 0.500 0.333
Sc 0.999 0.500 0.500

space-group type: Pmmn, No. 59
ΔH_f (0 K): 0.16 eV/f.u.
spin magnetization: 0.0 μB per formula unit
distance to the lowest polymorph of the same formula: 0.16 eV/f.u.
DOS(E_F): 4.738 states/eV/f.u.

=====

Record 20
Entry from the Alexandria database: a PBEsol-optimized structure of Zr3Sc (meta-GGA SCAN).

a = 3.143 Å, b = 5.479 Å, c = 5.479 Å
α = 109.53°, β = 90.00°, γ = 90.00°
Fractional coordinates of all 4 atoms:
Sc 0.000 0.000 0.000
Zr 0.000 0.500 0.500
Zr 0.500 0.500 0.000
Zr 0.500 0.000 0.500

space-group type: Cmmm, No. 65
ΔH_f (0 K): 0.24 eV/f.u.
spin magnetization: 0.0 μB per formula unit
distance to the lowest polymorph of the same formula: 0.25 eV/f.u.
DOS(E_F): 5.696 states/eV/f.u.

=====

Record 21
Entry from the Alexandria database: a PBEsol-optimized structure of Zr5Sc (meta-GGA SCAN).

a = 5.794 Å, b = 5.794 Å, c = 5.794 Å
α = 60.00°, β = 60.00°, γ = 60.00°
Fractional coordinates of all 6 atoms:
Zr 0.250 0.250 0.250
Zr 0.624 0.624 0.127
Zr 0.127 0.624 0.624
Zr 0.624 0.624 0.624
Sc 0.000 0.000 0.000
Zr 0.624 0.127 0.624

space-group type: F-43m, No. 216
ΔH_f (0 K): 1.56 eV/f.u.
spin magnetization: 5.5 μB per formula unit
DOS(E_F): 8.454 states/eV/f.u.

=====

Record 22
Entry from the Alexandria database: a PBEsol-optimized structure of Zr8Sc (meta-GGA SCAN).

a = 4.440 Å, b = 7.066 Å, c = 7.066 Å
α = 84.34°, β = 71.69°, γ = 71.69°
Fractional coordinates of all 9 atoms:
Zr 0.667 0.666 0.000
Zr 0.000 0.666 0.334
Zr 0.334 0.666 0.666
Zr 0.667 0.000 0.666
Zr 0.666 0.334 0.334
Sc 0.000 0.000 0.000
Zr 0.333 0.000 0.334
Zr 0.000 0.334 0.666
Zr 0.333 0.334 0.000

space-group type: I4/mmm, No. 139
ΔH_f (0 K): 0.54 eV/f.u.
spin magnetization: 0.0 μB per formula unit
DOS(E_F): 12.511 states/eV/f.u.

=====

Record 23
Entry from the Alexandria database: a PBEsol-optimized structure of ZrSc3 (meta-GGA SCAN).

a = 3.176 Å, b = 3.176 Å, c = 9.090 Å
α = 90.00°, β = 90.00°, γ = 90.00°
Fractional coordinates of all 4 atoms:
Sc 0.000 0.000 0.758
Zr 0.500 0.500 0.000
Sc 0.000 0.000 0.242
Sc 0.500 0.500 0.500

space-group type: P4/mmm, No. 123
ΔH_f (0 K): 0.22 eV/f.u.
spin magnetization: 0.3 μB per formula unit
distance to the lowest polymorph of the same formula: 0.22 eV/f.u.
DOS(E_F): 5.873 states/eV/f.u.

=====

Record 24
Entry from the Alexandria database: a PBEsol-optimized structure of Zr3Sc (meta-GGA SCAN).

a = 3.143 Å, b = 5.463 Å, c = 5.485 Å
α = 99.36°, β = 90.00°, γ = 106.68°
Fractional coordinates of all 4 atoms:
Sc 0.000 0.000 0.000
Zr 0.249 0.499 0.751
Zr 0.751 0.501 0.249
Zr 0.500 0.000 0.500

space-group type: C2/m, No. 12
ΔH_f (0 K): 0.24 eV/f.u.
spin magnetization: 0.0 μB per formula unit
distance to the lowest polymorph of the same formula: 0.24 eV/f.u.
DOS(E_F): 5.412 states/eV/f.u.

=====

Record 25
Entry from the Alexandria database: a PBEsol-optimized structure of ZrSc2 (meta-GGA SCAN).

a = 3.228 Å, b = 6.043 Å, c = 7.522 Å
α = 102.65°, β = 90.00°, γ = 105.49°
Fractional coordinates of all 6 atoms:
Sc 0.133 0.267 0.526
Sc 0.808 0.617 0.863
Sc 0.867 0.733 0.474
Zr 0.526 0.052 0.808
Sc 0.192 0.383 0.137
Zr 0.474 0.948 0.192

space-group type: C2/m, No. 12
ΔH_f (0 K): -0.01 eV/f.u.
spin magnetization: 0.0 μB per formula unit
DOS(E_F): 3.803 states/eV/f.u.

=====

Record 26
Entry from the Alexandria database: a PBEsol-optimized structure of Zr3Sc (meta-GGA SCAN).

a = 3.195 Å, b = 5.555 Å, c = 5.992 Å
α = 117.61°, β = 105.46°, γ = 90.00°
Fractional coordinates of all 4 atoms:
Sc 0.000 0.003 0.000
Zr 0.250 0.582 0.501
Zr 0.500 0.500 0.000
Zr 0.750 0.081 0.499

space-group type: Imm2, No. 44
ΔH_f (0 K): 0.00 eV/f.u.
spin magnetization: 0.0 μB per formula unit
distance to the lowest polymorph of the same formula: 0.01 eV/f.u.
DOS(E_F): 3.672 states/eV/f.u.